Version 1
Computed, not measured: Bi2Pd2Br after structural relaxation at the GGA-PBE level of DFT.

Calculated values
crystal system = tetragonal
total magnetic moment = 0.00 μB/f.u.
density of states at the Fermi level = 0.3471 states/eV/atom

Cell: 3.9625 3.9625 16.3885 Å, 90.00 90.00 90.00°
Closest atoms and distances in Å follow each position.
Fractional coordinates of all 10 atoms:
Bi 0.0000 0.0000 0.1306  4 Pd 2.78
Bi 0.0000 0.0000 0.8694  4 Pd 2.78
Bi 0.5000 0.5000 0.3694  4 Pd 2.78
Bi 0.5000 0.5000 0.6306  4 Pd 2.78
Pd 0.0000 0.5000 0.2500  4 Bi 2.78, 4 Pd 2.80
Pd 0.0000 0.5000 0.7500  4 Bi 2.78, 4 Pd 2.80
Pd 0.5000 0.0000 0.2500  4 Bi 2.78, 4 Pd 2.80
Pd 0.5000 0.0000 0.7500  4 Bi 2.78, 4 Pd 2.80
Br 0.0000 0.0000 0.5000  8 Bi 3.53
Br 0.5000 0.5000 0.0000  8 Bi 3.53

Version 2
Computed, not measured: Bi2Pd2Br after structural relaxation at the GGA-PBE level of DFT.

Calculated values
crystal system = tetragonal
total magnetic moment = 0.00 μB/f.u.
density of states at the Fermi level = 0.4094 states/eV/atom

Cell: 8.0652 8.0652 3.5909 Å, 90.00 90.00 90.00°
Closest atoms and distances in Å follow each position.
Fractional coordinates of all 10 atoms:
Bi 0.1504 0.3496 0.0000  6 Pd 2.91-3.06
Bi 0.3496 0.8496 0.0000  6 Pd 2.91-3.06
Bi 0.6504 0.1504 0.0000  6 Pd 2.91-3.06
Bi 0.8496 0.6504 0.0000  6 Pd 2.91-3.06
Pd 0.1327 0.6327 0.5000  6 Bi 2.91-3.06, 1 Pd 3.03, 2 Br 3.15
Pd 0.3673 0.1327 0.5000  6 Bi 2.91-3.06, 1 Pd 3.03, 2 Br 3.15
Pd 0.6327 0.8673 0.5000  6 Bi 2.91-3.06, 1 Pd 3.03, 2 Br 3.15
Pd 0.8673 0.3673 0.5000  6 Bi 2.91-3.06, 1 Pd 3.03, 2 Br 3.15
Br 0.0000 0.0000 0.5000  4 Pd 3.15
Br 0.5000 0.5000 0.5000  4 Pd 3.15

It is version 1 that is the most stable of them.

Version 1
Computed, not measured: Bi2PdBr after structural relaxation at the GGA-PBE level of DFT.

Calculated values
crystal system = cubic
total magnetic moment = 0.00 μB/f.u.
density of states at the Fermi level = 1.0273 states/eV/atom

Cell: 7.3271 7.3271 7.3271 Å, 90.00 90.00 90.00°
Closest atoms and distances in Å follow each position.
Fractional coordinates of all 16 atoms:
Bi 0.2500 0.2500 0.2500  4 Br 3.17, 4 Pd 3.17
Bi 0.2500 0.2500 0.7500  4 Br 3.17, 4 Pd 3.17
Bi 0.2500 0.7500 0.2500  4 Br 3.17, 4 Pd 3.17
Bi 0.2500 0.7500 0.7500  4 Br 3.17, 4 Pd 3.17
Bi 0.7500 0.2500 0.2500  4 Br 3.17, 4 Pd 3.17
Bi 0.7500 0.2500 0.7500  4 Br 3.17, 4 Pd 3.17
Bi 0.7500 0.7500 0.2500  4 Br 3.17, 4 Pd 3.17
Bi 0.7500 0.7500 0.7500  4 Br 3.17, 4 Pd 3.17
Pd 0.0000 0.0000 0.0000  8 Bi 3.17
Pd 0.0000 0.5000 0.5000  8 Bi 3.17
Pd 0.5000 0.0000 0.5000  8 Bi 3.17
Pd 0.5000 0.5000 0.0000  8 Bi 3.17
Br 0.0000 0.0000 0.5000  8 Bi 3.17
Br 0.0000 0.5000 0.0000  8 Bi 3.17
Br 0.5000 0.0000 0.0000  8 Bi 3.17
Br 0.5000 0.5000 0.5000  8 Bi 3.17

Version 2
Computed, not measured: Bi2PdBr after structural relaxation at the GGA-PBE level of DFT.

Calculated values
crystal system = trigonal
total magnetic moment = 0.00 μB/f.u.
density of states at the Fermi level = 0.4721 states/eV/atom

Cell: 4.2942 4.2942 22.0232 Å, 90.00 90.00 120.00°
Closest atoms and distances in Å follow each position.
Fractional coordinates of all 12 atoms:
Bi 0.0000 0.0000 0.2249  3 Pd 2.79
Bi 0.0000 0.0000 0.7751  3 Pd 2.79
Bi 0.3333 0.6667 0.4418  3 Pd 2.79
Bi 0.3333 0.6667 0.8916  3 Pd 2.79
Bi 0.6667 0.3333 0.1084  3 Pd 2.79
Bi 0.6667 0.3333 0.5582  3 Pd 2.79
Pd 0.0000 0.0000 0.5000  6 Bi 2.79
Pd 0.3333 0.6667 0.1667  6 Bi 2.79
Pd 0.6667 0.3333 0.8333  6 Bi 2.79
Br 0.0000 0.0000 0.0000  6 Bi 3.44
Br 0.3333 0.6667 0.6667  6 Bi 3.44
Br 0.6667 0.3333 0.3333  6 Bi 3.44

Version 3
Computed, not measured: Bi2PdBr after structural relaxation at the GGA-PBE level of DFT.

Calculated values
crystal system = trigonal
total magnetic moment = 0.00 μB/f.u.
density of states at the Fermi level = 0.4452 states/eV/atom

Cell: 4.3534 4.3534 21.7497 Å, 90.00 90.00 120.00°
Closest atoms and distances in Å follow each position.
Fractional coordinates of all 12 atoms:
Bi 0.0000 0.0000 0.0000  3 Pd 2.80
Bi 0.0000 0.0000 0.2194  3 Pd 2.81
Bi 0.3333 0.6667 0.6667  3 Pd 2.80
Bi 0.3333 0.6667 0.8861  3 Pd 2.81
Bi 0.6667 0.3333 0.3333  3 Pd 2.80
Bi 0.6667 0.3333 0.5528  3 Pd 2.81
Pd 0.0000 0.0000 0.6101  6 Bi 2.80-2.81
Pd 0.3333 0.6667 0.2767  6 Bi 2.80-2.81
Pd 0.6667 0.3333 0.9434  6 Bi 2.80-2.81
Br 0.0000 0.0000 0.7757  6 Bi 3.46-3.48, 1 Pd 3.60
Br 0.3333 0.6667 0.4424  6 Bi 3.46-3.48, 1 Pd 3.60
Br 0.6667 0.3333 0.1091  6 Bi 3.46-3.48, 1 Pd 3.60

It is version 2 that is the most stable of them.

Version 1
Computed, not measured: ReBiPdBr2 after structural relaxation at the GGA-PBE level of DFT.

Calculated values
crystal system = tetragonal
total magnetic moment = 4.33 μB/f.u.
density of states at the Fermi level = 0.4070 states/eV/atom

Cell: 4.9455 4.9455 5.7907 Å, 90.00 90.00 90.00°
Closest atoms and distances in Å follow each position.
Fractional coordinates of all 5 atoms:
Re 0.0000 0.0000 0.0000  4 Bi 3.50, 8 Br 3.81
Bi 0.5000 0.5000 0.0000  2 Pd 2.90
Pd 0.5000 0.5000 0.5000  4 Br 2.47
Br 0.0000 0.5000 0.5000  2 Pd 2.47
Br 0.5000 0.0000 0.5000  2 Pd 2.47

Version 2
Computed, not measured: ReBiPdBr2 after structural relaxation at the GGA-PBE level of DFT.

Calculated values
crystal system = tetragonal
total magnetic moment = 5.85 μB/f.u.
density of states at the Fermi level = 0.3101 states/eV/atom

Cell: 5.7785 5.7785 5.2279 Å, 90.00 90.00 90.00°
Closest atoms and distances in Å follow each position.
Fractional coordinates of all 5 atoms:
Re 0.0000 0.0000 0.0000  8 Br 3.90, 4 Pd 4.09
Bi 0.5000 0.5000 0.5000  2 Pd 2.61, 4 Br 2.89
Pd 0.5000 0.5000 0.0000  2 Bi 2.61
Br 0.0000 0.5000 0.5000  2 Bi 2.89
Br 0.5000 0.0000 0.5000  2 Bi 2.89

It is version 1 that is the most stable of them.

Version 1
Computed, not measured: PrBiBr after structural relaxation at the GGA-PBE level of DFT.

Calculated values
crystal system = orthorhombic
total magnetic moment = 0.00 μB/f.u.
density of states at the Fermi level = 0.2981 states/eV/atom

Cell: 4.0294 11.3127 8.6704 Å, 90.00 90.00 90.00°
Closest atoms and distances in Å follow each position.
Fractional coordinates of all 12 atoms:
Pr 0.0000 0.2170 0.0000  4 Br 3.07-3.18, 2 Bi 3.22
Pr 0.0000 0.2830 0.5000  4 Br 3.07-3.18, 2 Bi 3.22
Pr 0.0000 0.7170 0.5000  4 Br 3.07-3.18, 2 Bi 3.22
Pr 0.0000 0.7830 0.0000  4 Br 3.07-3.18, 2 Bi 3.22
Bi 0.0000 0.0000 0.3440  2 Bi 3.16, 2 Pr 3.48
Bi 0.0000 0.5000 0.8440  2 Bi 3.16, 2 Pr 3.48
Bi 0.5000 0.0000 0.0637  2 Bi 3.16, 4 Pr 3.22, 2 Br 3.53
Bi 0.5000 0.5000 0.5637  2 Bi 3.16, 4 Pr 3.22, 2 Br 3.53
Br 0.5000 0.1704 0.7232  4 Pr 3.07-3.18
Br 0.5000 0.3296 0.2232  4 Pr 3.07-3.18
Br 0.5000 0.6704 0.2232  4 Pr 3.07-3.18
Br 0.5000 0.8296 0.7232  4 Pr 3.07-3.18

Version 2
Computed, not measured: PrBiBr after structural relaxation at the GGA-PBE level of DFT.

Calculated values
crystal system = hexagonal
total magnetic moment = 0.00 μB/f.u.
density of states at the Fermi level = 0.8939 states/eV/atom

Cell: 5.2800 5.2800 3.7999 Å, 90.00 90.00 120.00°
Closest atoms and distances in Å follow each position.
Fractional coordinates of all 3 atoms:
Pr 0.0000 0.0000 0.0000  3 Br 3.05
Bi 0.6667 0.3333 0.5000  6 Pr 3.59, 6 Br 3.59, 2 Bi 3.80
Br 0.3333 0.6667 0.0000  3 Pr 3.05

It is version 1 that is the most stable of them.

Version 1
Computed, not measured: Pr2BiBr after structural relaxation at the GGA-PBE level of DFT.

Calculated values
crystal system = trigonal
total magnetic moment = 0.00 μB/f.u.
density of states at the Fermi level = 0.5821 states/eV/atom

Cell: 4.4056 4.4056 23.7410 Å, 90.00 90.00 120.00°
Closest atoms and distances in Å follow each position.
Fractional coordinates of all 12 atoms:
Pr 0.0000 0.0000 0.0000  3 Bi 3.17, 3 Br 3.31
Pr 0.0000 0.0000 0.1759  3 Bi 3.14, 3 Br 3.27
Pr 0.3333 0.6667 0.6667  3 Bi 3.17, 3 Br 3.31
Pr 0.3333 0.6667 0.8425  3 Bi 3.14, 3 Br 3.27
Pr 0.6667 0.3333 0.3333  3 Bi 3.17, 3 Br 3.31
Pr 0.6667 0.3333 0.5092  3 Bi 3.14, 3 Br 3.27
Bi 0.0000 0.0000 0.5871  6 Pr 3.14-3.17
Bi 0.3333 0.6667 0.2537  6 Pr 3.14-3.17
Bi 0.6667 0.3333 0.9204  6 Pr 3.14-3.17
Br 0.0000 0.0000 0.7557  6 Pr 3.27-3.31
Br 0.3333 0.6667 0.4224  6 Pr 3.27-3.31
Br 0.6667 0.3333 0.0891  6 Pr 3.27-3.31

Version 2
Computed, not measured: Pr2BiBr after structural relaxation at the GGA-PBE level of DFT.

Calculated values
crystal system = cubic
total magnetic moment = 0.02 μB/f.u.
density of states at the Fermi level = 0.7896 states/eV/atom

Cell: 7.8047 7.8047 7.8047 Å, 90.00 90.00 90.00°
Closest atoms and distances in Å follow each position.
Fractional coordinates of all 16 atoms:
Pr 0.2500 0.2500 0.2500  4 Bi 3.38, 4 Br 3.38
Pr 0.2500 0.2500 0.7500  4 Bi 3.38, 4 Br 3.38
Pr 0.2500 0.7500 0.2500  4 Bi 3.38, 4 Br 3.38
Pr 0.2500 0.7500 0.7500  4 Bi 3.38, 4 Br 3.38
Pr 0.7500 0.2500 0.2500  4 Bi 3.38, 4 Br 3.38
Pr 0.7500 0.2500 0.7500  4 Bi 3.38, 4 Br 3.38
Pr 0.7500 0.7500 0.2500  4 Bi 3.38, 4 Br 3.38
Pr 0.7500 0.7500 0.7500  4 Bi 3.38, 4 Br 3.38
Bi 0.0000 0.0000 0.0000  8 Pr 3.38
Bi 0.0000 0.5000 0.5000  8 Pr 3.38
Bi 0.5000 0.0000 0.5000  8 Pr 3.38
Bi 0.5000 0.5000 0.0000  8 Pr 3.38
Br 0.0000 0.0000 0.5000  8 Pr 3.38
Br 0.0000 0.5000 0.0000  8 Pr 3.38
Br 0.5000 0.0000 0.0000  8 Pr 3.38
Br 0.5000 0.5000 0.5000  8 Pr 3.38

It is version 2 that is the most stable of them.

Version 1
Computed, not measured: Pr2BiBr after structural relaxation at the GGA-PBE level of DFT.

Calculated values
crystal system = monoclinic
total magnetic moment = 0.00 μB/f.u.
density of states at the Fermi level = 0.5394 states/eV/atom

Cell: 16.2053 4.3379 7.5995 Å, 90.00 100.76 90.00°
Closest atoms and distances in Å follow each position.
Fractional coordinates of all 16 atoms:
Pr 0.0128 0.0000 0.2670  2 Br 3.07-3.10, 4 Bi 3.33-3.41
Pr 0.2424 0.5000 0.2797  3 Br 3.10-3.21, 3 Bi 3.24-3.25
Pr 0.2576 0.0000 0.7203  3 Br 3.10-3.21, 3 Bi 3.24-3.25
Pr 0.4872 0.5000 0.7330  2 Br 3.07-3.10, 4 Bi 3.33-3.41
Pr 0.5128 0.5000 0.2670  2 Br 3.07-3.10, 4 Bi 3.33-3.41
Pr 0.7424 0.0000 0.2797  3 Br 3.10-3.21, 3 Bi 3.24-3.25
Pr 0.7576 0.5000 0.7203  3 Br 3.10-3.21, 3 Bi 3.24-3.25
Pr 0.9872 0.0000 0.7330  2 Br 3.07-3.10, 4 Bi 3.33-3.41
Bi 0.1146 0.5000 0.5623  7 Pr 3.24-3.41
Bi 0.3854 0.0000 0.4377  7 Pr 3.24-3.41
Bi 0.6146 0.0000 0.5623  7 Pr 3.24-3.41
Bi 0.8854 0.5000 0.4377  7 Pr 3.24-3.41
Br 0.1468 0.0000 0.0296  5 Pr 3.07-3.21
Br 0.3532 0.5000 0.9704  5 Pr 3.07-3.21
Br 0.6468 0.5000 0.0296  5 Pr 3.07-3.21
Br 0.8532 0.0000 0.9704  5 Pr 3.07-3.21

Version 2
Computed, not measured: Pr2BiBr after structural relaxation at the GGA-PBE level of DFT.

Calculated values
crystal system = tetragonal
total magnetic moment = 0.11 μB/f.u.
density of states at the Fermi level = 1.0959 states/eV/atom

Cell: 5.5374 5.5374 3.8756 Å, 90.00 90.00 90.00°
Closest atoms and distances in Å follow each position.
Fractional coordinates of all 4 atoms:
Pr 0.0000 0.5000 0.0000  4 Br 3.38, 4 Bi 3.38
Pr 0.5000 0.0000 0.0000  4 Br 3.38, 4 Bi 3.38
Bi 0.0000 0.0000 0.5000  8 Pr 3.38
Br 0.5000 0.5000 0.5000  8 Pr 3.38

Version 3
Computed, not measured: Pr2BiBr after structural relaxation at the GGA-PBE level of DFT.

Calculated values
crystal system = trigonal
total magnetic moment = 0.00 μB/f.u.
density of states at the Fermi level = 0.5555 states/eV/atom

Cell: 4.4465 4.4465 28.8018 Å, 90.00 90.00 120.00°
Closest atoms and distances in Å follow each position.
Fractional coordinates of all 12 atoms:
Pr 0.0000 0.0000 0.1010  1 Br 2.91, 3 Bi 3.19
Pr 0.0000 0.0000 0.8990  1 Br 2.91, 3 Bi 3.19
Pr 0.3333 0.6667 0.5657  1 Br 2.91, 3 Bi 3.19
Pr 0.3333 0.6667 0.7676  1 Br 2.91, 3 Bi 3.19
Pr 0.6667 0.3333 0.2324  1 Br 2.91, 3 Bi 3.19
Pr 0.6667 0.3333 0.4343  1 Br 2.91, 3 Bi 3.19
Bi 0.0000 0.0000 0.5000  6 Pr 3.19
Bi 0.3333 0.6667 0.1667  6 Pr 3.19
Bi 0.6667 0.3333 0.8333  6 Pr 3.19
Br 0.0000 0.0000 0.0000  2 Pr 2.91
Br 0.3333 0.6667 0.6667  2 Pr 2.91
Br 0.6667 0.3333 0.3333  2 Pr 2.91

It is version 1 that is the most stable of them.